5
Lattice="-3.524 0.090 -3.671 -1.156 -4.608 0.997 -3.466 1.598 3.367" Properties=species:S:1:pos:R:3 comment="Fe2CoSbO (GGA+U, relaxed)" final_energy_ev_per_fu=-18.96 volume_a3_per_cell=126 m_tot_mub_per_cell=10.0 pbc="T T T"
O -4.074 -1.460 0.346
Sb 0.000 0.000 0.000
Fe -1.733 0.799 1.683
Fe -1.762 0.045 -1.836
Co -0.578 -2.304 0.499